Entry from Alexandria: crystalline Tl12SbAu6 at its relaxed geometry (GGA-PBE).

Cell lengths 8.1485, 8.1485, 8.1485 Å; angles 80.76, 80.76, 80.76 degrees
Atoms (fractional coordinates):
Tl (0.0397, 0.9424, 0.2975)
Tl (0.0576, 0.7025, 0.9603)
Tl (0.1314, 0.4963, 0.3187)
Tl (0.2975, 0.0397, 0.9424)
Tl (0.3187, 0.1314, 0.4963)
Tl (0.4963, 0.3187, 0.1314)
Tl (0.5037, 0.6813, 0.8686)
Tl (0.6813, 0.8686, 0.5037)
Tl (0.7025, 0.9603, 0.0577)
Tl (0.8686, 0.5037, 0.6813)
Tl (0.9424, 0.2975, 0.0397)
Tl (0.9603, 0.0577, 0.7025)
Sb (0.5000, 0.5000, 0.5000)
Au (0.1681, 0.7058, 0.5890)
Au (0.2942, 0.4110, 0.8319)
Au (0.4110, 0.8319, 0.2942)
Au (0.5890, 0.1681, 0.7058)
Au (0.7058, 0.5890, 0.1681)
Au (0.8319, 0.2942, 0.4110)

## Properties
ρ	11.95	g cm⁻³
SG	R-3 (148)
volume	27.5	A^3/atom
magnetization	0.00	Bohr magnetons per cell
raw formation energy	0.028	eV per atom